# SnGePd2 | OQMD | PBE-GGA | relaxed
# Space group: No. 26
# E_tot: -5.216 eV per atom
data_SnGePd2
_space_group_name_H-M_alt 'P 1'
_space_group_IT_number 1
_cell_length_a 3.783
_cell_length_b 6.481
_cell_length_c 6.009
_cell_angle_alpha 90.00
_cell_angle_beta 90.00
_cell_angle_gamma 90.00
loop_
_space_group_symop_operation_xyz
'x,y,z'
loop_
_atom_site_label
_atom_site_type_symbol
_atom_site_fract_x
_atom_site_fract_y
_atom_site_fract_z
Ge1 Ge 0.500 0.156 0.193
Ge2 Ge 0.500 0.844 0.693
Pd1 Pd 0.000 0.053 0.492
Pd2 Pd 0.500 0.422 0.497
Pd3 Pd 0.000 0.947 0.992
Pd4 Pd 0.500 0.578 0.997
Sn1 Sn 0.000 0.663 0.318
Sn2 Sn 0.000 0.337 0.818

=====

# SnGePd2 | OQMD | PBE-GGA | relaxed
# Space group: No. 31
# E_tot: -5.237 eV per atom
data_SnGePd2
_space_group_name_H-M_alt 'P 1'
_space_group_IT_number 1
_cell_length_a 3.623
_cell_length_b 6.313
_cell_length_c 6.395
_cell_angle_alpha 90.00
_cell_angle_beta 90.00
_cell_angle_gamma 90.00
loop_
_space_group_symop_operation_xyz
'x,y,z'
loop_
_atom_site_label
_atom_site_type_symbol
_atom_site_fract_x
_atom_site_fract_y
_atom_site_fract_z
Ge1 Ge 0.500 0.935 0.420
Ge2 Ge 0.000 0.065 0.920
Pd1 Pd 0.000 0.768 0.188
Pd2 Pd 0.000 0.219 0.311
Pd3 Pd 0.500 0.232 0.688
Pd4 Pd 0.500 0.781 0.811
Sn1 Sn 0.500 0.447 0.080
Sn2 Sn 0.000 0.553 0.580

=====

# SrSnGe2Pd | OQMD | PBE-GGA | relaxed
# Space group: No. 107
# E_tot: -4.558 eV per atom
data_SrSnGe2Pd
_space_group_name_H-M_alt 'P 1'
_space_group_IT_number 1
_cell_length_a 6.267
_cell_length_b 6.267
_cell_length_c 6.267
_cell_angle_alpha 136.13
_cell_angle_beta 136.13
_cell_angle_gamma 63.77
loop_
_space_group_symop_operation_xyz
'x,y,z'
loop_
_atom_site_label
_atom_site_type_symbol
_atom_site_fract_x
_atom_site_fract_y
_atom_site_fract_z
Ge1 Ge 0.746 0.246 0.500
Ge2 Ge 0.246 0.746 0.500
Pd1 Pd 0.650 0.650 0.000
Sn1 Sn 0.399 0.399 0.000
Sr1 Sr 0.001 0.001 0.000

=====

# SrSn2GePd | OQMD | PBE-GGA | relaxed
# Space group: No. 107
# E_tot: -4.471 eV per atom
data_SrSn2GePd
_space_group_name_H-M_alt 'P 1'
_space_group_IT_number 1
_cell_length_a 6.461
_cell_length_b 6.461
_cell_length_c 6.461
_cell_angle_alpha 136.88
_cell_angle_beta 136.88
_cell_angle_gamma 62.62
loop_
_space_group_symop_operation_xyz
'x,y,z'
loop_
_atom_site_label
_atom_site_type_symbol
_atom_site_fract_x
_atom_site_fract_y
_atom_site_fract_z
Ge1 Ge 0.409 0.409 0.000
Pd1 Pd 0.633 0.633 0.000
Sn1 Sn 0.752 0.252 0.500
Sn2 Sn 0.252 0.752 0.500
Sr1 Sr 0.996 0.996 0.000

=====

# Tm4SnGe4Pd2 | OQMD | PBE-GGA | relaxed
# Space group: No. 12
# E_tot: -5.462 eV per atom
data_Tm4SnGe4Pd2
_space_group_name_H-M_alt 'P 1'
_space_group_IT_number 1
_cell_length_a 8.159
_cell_length_b 8.159
_cell_length_c 7.134
_cell_angle_alpha 107.09
_cell_angle_beta 107.09
_cell_angle_gamma 30.01
loop_
_space_group_symop_operation_xyz
'x,y,z'
loop_
_atom_site_label
_atom_site_type_symbol
_atom_site_fract_x
_atom_site_fract_y
_atom_site_fract_z
Ge1 Ge 0.192 0.192 0.231
Ge2 Ge 0.937 0.937 0.343
Ge3 Ge 0.063 0.063 0.657
Ge4 Ge 0.808 0.808 0.769
Pd1 Pd 0.781 0.781 0.379
Pd2 Pd 0.219 0.219 0.621
Sn1 Sn 0.000 0.000 0.000
Tm1 Tm 0.345 0.345 0.077
Tm2 Tm 0.586 0.586 0.376
Tm3 Tm 0.414 0.414 0.624
Tm4 Tm 0.655 0.655 0.923

=====

# Zn2SnGePd4 | OQMD | PBE-GGA | relaxed
# Space group: No. 123
# E_tot: -4.444 eV per atom
data_Zn2SnGePd4
_space_group_name_H-M_alt 'P 1'
_space_group_IT_number 1
_cell_length_a 4.384
_cell_length_b 4.384
_cell_length_c 6.602
_cell_angle_alpha 90.00
_cell_angle_beta 90.00
_cell_angle_gamma 90.00
loop_
_space_group_symop_operation_xyz
'x,y,z'
loop_
_atom_site_label
_atom_site_type_symbol
_atom_site_fract_x
_atom_site_fract_y
_atom_site_fract_z
Ge1 Ge 0.500 0.500 0.000
Pd1 Pd 0.500 0.000 0.234
Pd2 Pd 0.000 0.500 0.234
Pd3 Pd 0.500 0.000 0.766
Pd4 Pd 0.000 0.500 0.766
Sn1 Sn 0.000 0.000 0.500
Zn1 Zn 0.000 0.000 0.000
Zn2 Zn 0.500 0.500 0.500

=====

# Zr2SnGePd2 | OQMD | PBE-GGA | relaxed
# Space group: No. 6
# E_tot: -6.779 eV per atom
data_Zr2SnGePd2
_space_group_name_H-M_alt 'P 1'
_space_group_IT_number 1
_cell_length_a 10.893
_cell_length_b 4.445
_cell_length_c 10.897
_cell_angle_alpha 90.00
_cell_angle_beta 109.48
_cell_angle_gamma 90.00
loop_
_space_group_symop_operation_xyz
'x,y,z'
loop_
_atom_site_label
_atom_site_type_symbol
_atom_site_fract_x
_atom_site_fract_y
_atom_site_fract_z
Ge1 Ge 0.750 0.000 0.001
Ge2 Ge 0.126 0.500 0.126
Ge3 Ge 0.499 0.000 0.250
Ge4 Ge 0.250 0.000 0.499
Pd1 Pd 0.001 0.000 0.006
Pd2 Pd 0.375 0.500 0.130
Pd3 Pd 0.746 0.000 0.244
Pd4 Pd 0.129 0.500 0.373
Pd5 Pd 0.493 0.000 0.494
Pd6 Pd 0.875 0.500 0.625
Pd7 Pd 0.251 0.000 0.746
Pd8 Pd 0.630 0.500 0.880
Sn1 Sn 0.875 0.500 0.374
Sn2 Sn 0.624 0.500 0.625
Sn3 Sn 0.001 0.000 0.751
Sn4 Sn 0.375 0.500 0.876
Zr1 Zr 0.251 0.000 0.007
Zr2 Zr 0.623 0.500 0.125
Zr3 Zr 0.003 0.000 0.249
Zr4 Zr 0.372 0.500 0.372
Zr5 Zr 0.745 0.000 0.495
Zr6 Zr 0.128 0.500 0.620
Zr7 Zr 0.502 0.000 0.750
Zr8 Zr 0.877 0.500 0.883

=====

# SrGe4Pd6 | OQMD | PBE-GGA | relaxed
# Space group: No. 187
# E_tot: -5.288 eV per atom
data_SrGe4Pd6
_space_group_name_H-M_alt 'P 1'
_space_group_IT_number 1
_cell_length_a 7.387
_cell_length_b 7.387
_cell_length_c 4.025
_cell_angle_alpha 90.00
_cell_angle_beta 90.00
_cell_angle_gamma 120.00
loop_
_space_group_symop_operation_xyz
'x,y,z'
loop_
_atom_site_label
_atom_site_type_symbol
_atom_site_fract_x
_atom_site_fract_y
_atom_site_fract_z
Ge1 Ge 0.333 0.667 0.000
Ge2 Ge 0.389 0.195 0.500
Ge3 Ge 0.805 0.195 0.500
Ge4 Ge 0.805 0.611 0.500
Pd1 Pd 0.535 0.071 0.000
Pd2 Pd 0.535 0.465 0.000
Pd3 Pd 0.929 0.465 0.000
Pd4 Pd 0.202 0.404 0.500
Pd5 Pd 0.202 0.798 0.500
Pd6 Pd 0.596 0.798 0.500
Sr1 Sr 0.000 0.000 0.000

=====

# Sr2Ge2Pd3 | OQMD | PBE-GGA | relaxed
# Space group: No. 160
# E_tot: -4.633 eV per atom
data_Sr2Ge2Pd3
_space_group_name_H-M_alt 'P 1'
_space_group_IT_number 1
_cell_length_a 10.450
_cell_length_b 10.450
_cell_length_c 10.450
_cell_angle_alpha 24.18
_cell_angle_beta 24.18
_cell_angle_gamma 24.18
loop_
_space_group_symop_operation_xyz
'x,y,z'
loop_
_atom_site_label
_atom_site_type_symbol
_atom_site_fract_x
_atom_site_fract_y
_atom_site_fract_z
Ge1 Ge 0.004 0.004 0.004
Ge2 Ge 0.505 0.505 0.505
Pd1 Pd 0.356 0.356 0.356
Pd2 Pd 0.653 0.653 0.653
Pd3 Pd 0.852 0.852 0.852
Sr1 Sr 0.250 0.250 0.250
Sr2 Sr 0.756 0.756 0.756

=====

# SrGe2Pd2 | OQMD | PBE-GGA | relaxed
# Space group: No. 139
# E_tot: -4.971 eV per atom
data_SrGe2Pd2
_space_group_name_H-M_alt 'P 1'
_space_group_IT_number 1
_cell_length_a 6.032
_cell_length_b 6.032
_cell_length_c 6.032
_cell_angle_alpha 136.69
_cell_angle_beta 136.69
_cell_angle_gamma 62.91
loop_
_space_group_symop_operation_xyz
'x,y,z'
loop_
_atom_site_label
_atom_site_type_symbol
_atom_site_fract_x
_atom_site_fract_y
_atom_site_fract_z
Ge1 Ge 0.370 0.370 0.000
Ge2 Ge 0.630 0.630 0.000
Pd1 Pd 0.750 0.250 0.500
Pd2 Pd 0.250 0.750 0.500
Sr1 Sr 0.000 0.000 0.000

=====

# SrGe2Pd2 | OQMD | PBE-GGA | relaxed
# Space group: No. 139
# E_tot: -4.860 eV per atom
data_SrGe2Pd2
_space_group_name_H-M_alt 'P 1'
_space_group_IT_number 1
_cell_length_a 6.053
_cell_length_b 6.053
_cell_length_c 6.053
_cell_angle_alpha 136.43
_cell_angle_beta 136.43
_cell_angle_gamma 63.31
loop_
_space_group_symop_operation_xyz
'x,y,z'
loop_
_atom_site_label
_atom_site_type_symbol
_atom_site_fract_x
_atom_site_fract_y
_atom_site_fract_z
Ge1 Ge 0.750 0.250 0.500
Ge2 Ge 0.250 0.750 0.500
Pd1 Pd 0.365 0.365 0.000
Pd2 Pd 0.635 0.635 0.000
Sr1 Sr 0.000 0.000 0.000

=====

# Ta2Ge3Pd2 | OQMD | PBE-GGA | relaxed
# Space group: No. 160
# E_tot: -6.861 eV per atom
data_Ta2Ge3Pd2
_space_group_name_H-M_alt 'P 1'
_space_group_IT_number 1
_cell_length_a 8.323
_cell_length_b 8.323
_cell_length_c 8.323
_cell_angle_alpha 29.45
_cell_angle_beta 29.45
_cell_angle_gamma 29.45
loop_
_space_group_symop_operation_xyz
'x,y,z'
loop_
_atom_site_label
_atom_site_type_symbol
_atom_site_fract_x
_atom_site_fract_y
_atom_site_fract_z
Ge1 Ge 0.389 0.389 0.389
Ge2 Ge 0.629 0.629 0.629
Ge3 Ge 0.859 0.859 0.859
Pd1 Pd 0.501 0.501 0.501
Pd2 Pd 0.998 0.998 0.998
Ta1 Ta 0.247 0.247 0.247
Ta2 Ta 0.751 0.751 0.751